# 1
NdDy5Tm12 | PBE-GGA | relaxed

abc: 10.202 10.202 5.885
angles: 90.01 90.01 114.30
Fractional coordinates of all 18 atoms:
Nd (0.000, 0.000, 0.000)
Dy (0.167, 0.833, 0.500)
Dy (0.331, 0.669, 0.000)
Dy (0.500, 0.500, 0.500)
Dy (0.669, 0.331, 0.000)
Dy (0.833, 0.167, 0.500)
Tm (0.010, 0.344, 0.951)
Tm (0.159, 0.493, 0.451)
Tm (0.176, 0.176, 0.545)
Tm (0.329, 0.329, 0.044)
Tm (0.344, 0.010, 0.951)
Tm (0.493, 0.159, 0.451)
Tm (0.507, 0.841, 0.549)
Tm (0.656, 0.990, 0.049)
Tm (0.671, 0.671, 0.956)
Tm (0.824, 0.824, 0.455)
Tm (0.841, 0.507, 0.549)
Tm (0.990, 0.656, 0.049)

Results
Calculated total energy = -4.40 eV/atom
DOS at the Fermi energy = 37.02 states/eV per cell
Energy of formation from the pure elements = 121 meV per atom



# 2
Nd2DyTm2 | PBE-GGA | relaxed

abc: 6.186 3.574 14.597
angles: 90.00 90.03 90.00
Fractional coordinates of all 10 atoms:
Nd (0.168, 0.000, 0.394)
Nd (0.332, 0.500, 0.606)
Nd (0.668, 0.500, 0.394)
Nd (0.832, 0.000, 0.606)
Dy (0.000, 0.500, 0.000)
Dy (0.500, 0.000, 0.000)
Tm (0.166, 0.000, 0.806)
Tm (0.334, 0.500, 0.194)
Tm (0.666, 0.500, 0.806)
Tm (0.834, 0.000, 0.194)

Results
Calculated total energy = -4.59 eV/atom
DOS at the Fermi energy = 13.15 states/eV per cell
Relative energy among the computed polymorphs = 0 meV per atom
Energy of formation from the pure elements = 30 meV per atom